[1]
Material: CdPBr2
Method: DFT, GGA-PBE
State: relaxed

Cell: 5.1408 5.1408 5.1408 Å, 60.00 60.00 60.00°
Fractional coordinates of all 4 atoms:
Cd 0.0000 0.0000 0.0000
P 0.5000 0.5000 0.5000
Br 0.2500 0.2500 0.2500
Br 0.7500 0.7500 0.7500

Energy relative to the elements, uncorrected = 0.51 eV per atom
Excess energy over the best structure of this formula in the dataset = 70.79 kJ/mol of atoms
Fermi-level density of states = 3.14 states/eV per cell
Crystal system = cubic
Total magnetic moment = 1.495 μB/f.u.

***

[2]
Material: HoZnInO4
Method: DFT, GGA-PBE
State: relaxed

Cell: 6.4882 6.4882 6.4882 Å, 120.74 118.85 90.36°
Fractional coordinates of all 14 atoms:
Ho 0.0000 0.0000 0.0000
Ho 0.5000 0.0000 0.5000
Zn 0.3692 0.6192 0.7500
Zn 0.6308 0.3808 0.2500
In 0.0000 0.0000 0.5000
In 0.0000 0.5000 0.0000
O 0.2339 0.2489 0.9850
O 0.2361 0.7511 0.4850
O 0.2442 0.2326 0.4884
O 0.2442 0.7557 0.0116
O 0.7558 0.2443 0.9884
O 0.7558 0.7674 0.5116
O 0.7639 0.2489 0.5150
O 0.7661 0.7511 0.0150

Energy relative to the elements, uncorrected = -2.16 eV per atom
Fermi-level density of states = 0.00 states/eV per cell
Crystal system = orthorhombic
Total magnetic moment = 0.000 μB/f.u.

***

[3]
Material: ZrAs2Cl
Method: DFT, GGA-PBE
State: relaxed

Cell: 4.8587 4.8587 4.8587 Å, 60.00 60.00 60.00°
Fractional coordinates of all 4 atoms:
Zr 0.0000 0.0000 0.0000
As 0.2500 0.2500 0.2500
As 0.7500 0.7500 0.7500
Cl 0.5000 0.5000 0.5000

Energy relative to the elements, uncorrected = 0.05 eV per atom
Excess energy over the best structure of this formula in the dataset = 75.45 kJ/mol of atoms
Fermi-level density of states = 6.95 states/eV per cell
Crystal system = cubic
Total magnetic moment = 0.000 μB/f.u.